A plane-wave DFT calculation with PBE-GGA was carried out for crystalline Cs3HoTm3Se8 at its relaxed geometry.

As for the symmetry: C2/m, No. 12. For the formation energy without anion corrections, the calculation gives -1.662 eV/atom. The value obtained for the electronic total energy is -4.891 eV per atom. Its magnetization is 0.00 μB/cell.

a = 8.273 Å, b = 8.276 Å, c = 9.808 Å
α = 115.00°, β = 90.00°, γ = 119.99°
Element x y z (fractional)
Tm1 0.500 0.500 0.500
Se1 0.771 0.046 0.317
Se2 0.728 0.455 0.683
Se3 0.771 0.541 0.317
Se4 0.272 0.545 0.317
Se5 0.725 0.954 0.683
Cs1 0.000 0.500 0.000
Tm2 0.500 0.000 0.500
Cs2 0.500 0.500 0.000
Ho1 0.000 0.000 0.500
Se6 0.229 0.459 0.683
Tm3 0.000 0.500 0.500
Cs3 0.000 0.000 0.000
Se7 0.275 0.046 0.317
Se8 0.229 0.954 0.683


A plane-wave DFT calculation with PBE-GGA was carried out for crystalline SnAsIO2 at its relaxed geometry.

As for the symmetry: P4/mmm, No. 123. The excess energy over the best structure of this formula in the dataset is 0.000 eV/atom. For the formation energy without anion corrections, the calculation gives -0.179 eV/atom. The value obtained for the electronic total energy is -4.202 eV per atom. Its magnetization is 0.32 μB/cell.

a = 4.010 Å, b = 4.010 Å, c = 7.746 Å
α = 90.00°, β = 90.00°, γ = 90.00°
Element x y z (fractional)
Sn1 0.000 0.000 0.000
I1 0.000 0.000 0.500
O1 0.000 0.500 0.000
As1 0.500 0.500 0.500
O2 0.500 0.000 0.000


A plane-wave DFT calculation with PBE-GGA was carried out for crystalline La6Dy3Y at its relaxed geometry.

As for the symmetry: P2_1/c, No. 14. The calculation puts the energy of formation from the pure elements at 185 meV per atom. The value obtained for the electronic total energy is -4.798 eV per atom. Its magnetization is 0.00 μB/cell.

a = 5.650 Å, b = 10.143 Å, c = 13.736 Å
α = 90.00°, β = 114.26°, γ = 90.00°
Element x y z (fractional)
La1 0.019 0.684 0.020
Y1 0.500 0.500 0.500
La2 0.481 0.184 0.480
La3 0.519 0.816 0.520
Y2 0.000 0.000 0.000
Dy1 0.097 0.646 0.597
La4 0.278 0.940 0.279
La5 0.981 0.316 0.980
Dy2 0.500 0.500 0.000
La6 0.722 0.060 0.721
Dy3 0.597 0.854 0.097
La7 0.172 0.321 0.672
Dy4 0.403 0.146 0.903
La8 0.222 0.440 0.221
La9 0.778 0.560 0.779
Dy5 0.903 0.354 0.403
La10 0.828 0.679 0.328
La11 0.328 0.821 0.828
Dy6 0.000 0.000 0.500
La12 0.672 0.179 0.172


A plane-wave DFT calculation with PBE-GGA was carried out for crystalline NbHgTe2 at its relaxed geometry.

As for the symmetry: P1, No. 1. The excess energy over the best structure of this formula in the dataset is 0.011 eV/atom. For the formation energy without anion corrections, the calculation gives -0.326 eV/atom. The value obtained for the electronic total energy is -4.490 eV per atom. Its magnetization is 0.65 μB/cell.

a = 10.291 Å, b = 6.389 Å, c = 3.680 Å
α = 90.00°, β = 90.03°, γ = 77.87°
Element x y z (fractional)
Nb1 0.052 0.935 0.478
Hg1 0.546 0.106 0.481
Hg2 0.546 0.610 0.981
Nb2 0.052 0.449 0.979
Te1 0.865 0.671 0.478
Te2 0.233 0.049 0.979
Te3 0.870 0.171 0.978
Te4 0.238 0.546 0.479


A plane-wave DFT calculation with PBE-GGA was carried out for crystalline CeHo2F at its relaxed geometry.

As for the symmetry: R-3m, No. 166. For the formation energy without anion corrections, the calculation gives -0.868 eV/atom. The value obtained for the electronic total energy is -5.109 eV per atom. Its magnetization is 0.00 μB/cell.

a = 3.240 Å, b = 3.240 Å, c = 10.368 Å
α = 81.01°, β = 81.01°, γ = 60.00°
Element x y z (fractional)
Ho1 0.106 0.106 0.683
Ce1 0.000 0.000 0.000
Ho2 0.894 0.894 0.317
F1 0.500 0.500 0.500


A plane-wave DFT calculation with PBE-GGA was carried out for crystalline PrDy2Tm5Sc at its relaxed geometry.

As for the symmetry: Cmc2_1, No. 36. The calculation puts the energy of formation from the pure elements at 177 meV per atom. The value obtained for the electronic total energy is -4.565 eV per atom. Its magnetization is 0.00 μB/cell.

a = 5.527 Å, b = 10.167 Å, c = 10.302 Å
α = 90.00°, β = 90.00°, γ = 105.77°
Element x y z (fractional)
Tm1 0.623 0.246 0.520
Tm2 0.018 0.037 0.021
Tm3 0.520 0.040 0.238
Tm4 0.723 0.447 0.823
Tm5 0.377 0.754 0.020
Tm6 0.277 0.553 0.323
Tm7 0.982 0.963 0.521
Pr1 0.586 0.172 0.953
Tm8 0.480 0.960 0.738
Tm9 0.298 0.596 0.707
Dy1 0.886 0.772 0.233
Sc1 0.197 0.394 0.014
Dy2 0.114 0.228 0.733
Tm10 0.702 0.404 0.207
Dy3 0.889 0.778 0.815
Pr2 0.414 0.828 0.453
Sc2 0.803 0.606 0.514
Dy4 0.111 0.222 0.315


A plane-wave DFT calculation with PBE-GGA was carried out for crystalline Pm2NpF8 at its relaxed geometry.

As for the symmetry: Immm, No. 71. For the formation energy without anion corrections, the calculation gives -3.616 eV/atom. The value obtained for the electronic total energy is -7.017 eV per atom. Its magnetization is 5.00 μB/cell.

a = 3.869 Å, b = 6.642 Å, c = 6.806 Å
α = 119.21°, β = 106.51°, γ = 90.00°
Element x y z (fractional)
F1 0.337 0.123 0.675
F2 0.000 0.310 0.000
F3 0.150 0.150 0.299
Pm1 0.185 0.685 0.369
F4 0.663 0.448 0.325
Pm2 0.815 0.315 0.631
F5 0.337 0.552 0.675
F6 0.850 0.850 0.701
F7 0.000 0.690 0.000
Np1 0.500 0.000 0.000
F8 0.663 0.877 0.325


A plane-wave DFT calculation with PBE-GGA was carried out for crystalline Tb3Te12Pb5 at its relaxed geometry.

As for the symmetry: Ia-3d, No. 230. For the formation energy without anion corrections, the calculation gives -0.512 eV/atom. The value obtained for the electronic total energy is -4.019 eV per atom. Its magnetization is 0.00 μB/cell.

a = 15.837 Å, b = 15.837 Å, c = 15.837 Å
α = 109.47°, β = 109.47°, γ = 109.47°
Element x y z (fractional)
Pb1 0.500 0.500 0.500
Te1 0.831 0.914 0.271
Pb2 0.500 0.000 0.000
Te2 0.169 0.083 0.940
Pb3 0.625 0.750 0.875
Te3 0.940 0.357 0.271
Te4 0.729 0.143 0.060
Te5 0.586 0.857 0.417
Pb4 0.000 0.500 0.500
Te6 0.560 0.229 0.143
Te7 0.169 0.086 0.729
Pb5 0.000 0.000 0.000
Te8 0.331 0.560 0.417
Te9 0.083 0.169 0.440
Te10 0.560 0.331 0.917
Te11 0.331 0.771 0.414
Te12 0.669 0.440 0.583
Pb6 0.750 0.125 0.875
Te13 0.643 0.583 0.914
Tb1 0.250 0.625 0.875
Te14 0.083 0.914 0.143
Te15 0.771 0.331 0.914
Te16 0.586 0.729 0.669
Tb2 0.750 0.875 0.625
Te17 0.417 0.357 0.586
Te18 0.417 0.060 0.331
Te19 0.914 0.083 0.643
Tb3 0.125 0.875 0.750
Pb7 0.125 0.375 0.250
Te20 0.583 0.643 0.414
Te21 0.143 0.729 0.560
Te22 0.357 0.417 0.086
Te23 0.857 0.586 0.917
Tb4 0.625 0.375 0.750
Te24 0.917 0.831 0.560
Te25 0.440 0.771 0.857
Te26 0.914 0.831 0.771
Pb8 0.500 0.000 0.500
Te27 0.669 0.229 0.586
Te28 0.917 0.086 0.857
Te29 0.729 0.586 0.169
Te30 0.060 0.417 0.831
Pb9 0.875 0.625 0.750
Te31 0.440 0.669 0.083
Te32 0.940 0.583 0.169
Pb10 0.000 0.000 0.500
Te33 0.086 0.917 0.357
Pb11 0.000 0.500 0.000
Te34 0.271 0.857 0.940
Te35 0.143 0.414 0.083
Pb12 0.500 0.500 0.000
Pb13 0.625 0.875 0.250
Tb5 0.875 0.750 0.125
Tb6 0.375 0.625 0.250
Te36 0.086 0.169 0.229
Tb7 0.375 0.750 0.625
Te37 0.229 0.669 0.086
Te38 0.357 0.940 0.771
Te39 0.857 0.271 0.440
Tb8 0.750 0.375 0.125
Pb14 0.125 0.750 0.375
Tb9 0.250 0.125 0.375
Tb10 0.125 0.250 0.875
Te40 0.414 0.143 0.583
Pb15 0.750 0.625 0.375
Tb11 0.875 0.125 0.250
Pb16 0.375 0.250 0.125
Te41 0.831 0.917 0.060
Te42 0.414 0.271 0.331
Tb12 0.625 0.250 0.375
Te43 0.060 0.643 0.729
Te44 0.583 0.940 0.669
Te45 0.643 0.060 0.229
Te46 0.771 0.440 0.357
Pb17 0.875 0.250 0.625
Te47 0.271 0.414 0.831
Pb18 0.375 0.125 0.750
Pb19 0.250 0.875 0.125
Te48 0.229 0.560 0.643
Pb20 0.250 0.375 0.625


A plane-wave DFT calculation with PBE-GGA was carried out for crystalline In2NiSn at its relaxed geometry.

As for the symmetry: P2_1/m, No. 11. The calculation puts the energy of formation from the pure elements at -11 meV per atom. The value obtained for the electronic total energy is -3.827 eV per atom. Its magnetization is 0.00 μB/cell.

a = 4.078 Å, b = 5.395 Å, c = 8.230 Å
α = 90.00°, β = 90.00°, γ = 111.00°
Element x y z (fractional)
In1 0.351 0.711 0.949
Ni1 0.766 0.540 0.750
In2 0.351 0.711 0.551
In3 0.649 0.289 0.051
Sn1 0.050 0.116 0.750
In4 0.649 0.289 0.449
Ni2 0.234 0.460 0.250
Sn2 0.950 0.884 0.250


A plane-wave DFT calculation with PBE-GGA was carried out for crystalline RbCu3Mo at its relaxed geometry.

As for the symmetry: Pm-3m, No. 221. The excess energy over the best structure of this formula in the dataset is 1.217 eV/atom. The calculation puts the energy of formation from the pure elements at 2345 meV per atom. The value obtained for the electronic total energy is -2.472 eV per atom. Its magnetization is 3.81 μB/cell.

a = 5.054 Å, b = 5.054 Å, c = 5.054 Å
α = 90.00°, β = 90.00°, γ = 90.00°
Element x y z (fractional)
Cu1 0.500 0.000 0.000
Rb1 0.000 0.000 0.000
Mo1 0.500 0.500 0.500
Cu2 0.000 0.500 0.000
Cu3 0.000 0.000 0.500


A plane-wave DFT calculation with PBE-GGA was carried out for crystalline NbCu at its relaxed geometry.

As for the symmetry: Pnma, No. 62. The calculation puts the energy of formation from the pure elements at 102 meV per atom. The value obtained for the electronic total energy is -6.981 eV per atom. Its magnetization is 0.00 μB/cell.

a = 10.354 Å, b = 4.391 Å, c = 5.376 Å
α = 90.00°, β = 90.00°, γ = 90.00°
Element x y z (fractional)
Cu1 0.601 0.250 0.152
Nb1 0.951 0.750 0.134
Cu2 0.101 0.250 0.348
Cu3 0.300 0.250 0.615
Cu4 0.700 0.750 0.385
Nb2 0.451 0.750 0.366
Cu5 0.899 0.750 0.652
Nb3 0.164 0.750 0.611
Nb4 0.549 0.250 0.634
Nb5 0.336 0.250 0.111
Nb6 0.049 0.250 0.866
Cu6 0.399 0.750 0.848
Cu7 0.800 0.250 0.885
Cu8 0.200 0.750 0.115
Nb7 0.664 0.750 0.889
Nb8 0.836 0.250 0.389


A plane-wave DFT calculation with PBE-GGA was carried out for crystalline PrNdErTm3 at its relaxed geometry.

As for the symmetry: Cmcm, No. 63. The calculation puts the energy of formation from the pure elements at 110 meV per atom. The value obtained for the electronic total energy is -4.478 eV per atom. Its magnetization is 0.01 μB/cell.

a = 5.822 Å, b = 6.396 Å, c = 11.654 Å
α = 90.00°, β = 90.00°, γ = 117.07°
Element x y z (fractional)
Pr1 0.000 0.000 0.500
Tm1 0.673 0.347 0.002
Er1 0.175 0.350 0.250
Nd1 0.502 0.003 0.750
Tm2 0.827 0.654 0.250
Tm3 0.327 0.653 0.998
Tm4 0.673 0.347 0.498
Tm5 0.173 0.346 0.750
Er2 0.825 0.650 0.750
Pr2 0.000 0.000 0.000
Tm6 0.327 0.653 0.502
Nd2 0.498 0.997 0.250


A plane-wave DFT calculation with PBE-GGA was carried out for crystalline Ca2Be4CuPt3 at its relaxed geometry.

As for the symmetry: P-4m2, No. 115. The calculation puts the energy of formation from the pure elements at -604 meV per atom. The value obtained for the electronic total energy is -4.716 eV per atom. Its magnetization is 0.00 μB/cell.

a = 4.022 Å, b = 4.022 Å, c = 9.446 Å
α = 90.00°, β = 90.00°, γ = 90.00°
Element x y z (fractional)
Cu1 0.500 0.500 0.500
Be1 0.500 0.500 0.000
Be2 0.000 0.000 0.000
Be3 0.000 0.500 0.379
Be4 0.500 0.000 0.621
Ca1 0.000 0.500 0.751
Pt1 0.000 0.000 0.500
Pt2 0.500 0.000 0.872
Ca2 0.500 0.000 0.249
Pt3 0.000 0.500 0.128


A plane-wave DFT calculation with PBE-GGA was carried out for crystalline Dy2HoPu3Te6 at its relaxed geometry.

As for the symmetry: C2/m, No. 12. For the formation energy without anion corrections, the calculation gives -1.209 eV/atom. The value obtained for the electronic total energy is -7.511 eV per atom. Its magnetization is 17.99 μB/cell.

a = 4.366 Å, b = 8.820 Å, c = 9.846 Å
α = 103.85°, β = 102.81°, γ = 90.00°
Element x y z (fractional)
Te1 0.335 0.914 0.670
Pu1 0.500 0.500 0.000
Te2 0.001 0.246 0.002
Dy1 0.167 0.333 0.334
Te3 0.665 0.086 0.330
Ho1 0.500 0.000 0.000
Te4 0.332 0.420 0.664
Te5 0.668 0.580 0.336
Te6 0.999 0.754 0.998
Pu2 0.167 0.833 0.334
Dy2 0.833 0.667 0.666
Pu3 0.833 0.167 0.666


A plane-wave DFT calculation with PBE-GGA was carried out for crystalline BeCoIr3 at its relaxed geometry.

As for the symmetry: Pm-3m, No. 221. The excess energy over the best structure of this formula in the dataset is 1.086 eV/atom. The calculation puts the energy of formation from the pure elements at 1617 meV per atom. The value obtained for the electronic total energy is -5.866 eV per atom. Its magnetization is 4.00 μB/cell.

a = 4.432 Å, b = 4.432 Å, c = 4.432 Å
α = 90.00°, β = 90.00°, γ = 90.00°
Element x y z (fractional)
Ir1 0.000 0.000 0.500
Ir2 0.500 0.000 0.000
Co1 0.000 0.000 0.000
Be1 0.500 0.500 0.500
Ir3 0.000 0.500 0.000


A plane-wave DFT calculation with PBE-GGA was carried out for crystalline Sr at its relaxed geometry.

As for the symmetry: P6_3/mmc, No. 194. The excess energy over the best structure of this formula in the dataset is 0.115 eV/atom. The calculation puts the energy of formation from the pure elements at 115 meV per atom. The value obtained for the electronic total energy is -1.567 eV per atom. Its magnetization is 0.00 μB/cell.

a = 4.158 Å, b = 4.158 Å, c = 14.945 Å
α = 90.00°, β = 90.00°, γ = 120.00°
Element x y z (fractional)
Sr1 0.667 0.333 0.883
Sr2 0.333 0.667 0.383
Sr3 0.667 0.333 0.617
Sr4 0.333 0.667 0.117


A plane-wave DFT calculation with PBE-GGA was carried out for crystalline Na2Ac2PuO6 at its relaxed geometry.

As for the symmetry: C2/m, No. 12. For the formation energy without anion corrections, the calculation gives -2.644 eV/atom. The value obtained for the electronic total energy is -7.638 eV per atom. Its magnetization is 4.00 μB/cell.

a = 6.486 Å, b = 6.486 Å, c = 5.923 Å
α = 97.17°, β = 97.17°, γ = 120.01°
Element x y z (fractional)
Na1 0.138 0.862 0.000
O1 0.968 0.651 0.307
O2 0.032 0.349 0.693
O3 0.234 0.234 0.293
Na2 0.862 0.138 0.000
O4 0.349 0.032 0.693
Pu1 0.000 0.000 0.500
O5 0.766 0.766 0.707
O6 0.651 0.968 0.307
Ac1 0.664 0.336 0.500
Ac2 0.336 0.664 0.500


A plane-wave DFT calculation with PBE-GGA was carried out for crystalline Nb2Tc at its relaxed geometry.

As for the symmetry: C2/m, No. 12. The excess energy over the best structure of this formula in the dataset is 0.083 eV/atom. The calculation puts the energy of formation from the pure elements at -192 meV per atom. The value obtained for the electronic total energy is -10.361 eV per atom. Its magnetization is 0.00 μB/cell.

a = 6.448 Å, b = 3.232 Å, c = 10.226 Å
α = 90.00°, β = 108.23°, γ = 90.00°
Element x y z (fractional)
Tc1 0.666 0.500 0.333
Tc2 0.334 0.000 0.167
Nb1 0.000 0.500 0.000
Nb2 0.500 0.500 0.000
Nb3 0.828 0.500 0.670
Nb4 0.000 0.000 0.500
Nb5 0.172 0.000 0.830
Tc3 0.334 0.500 0.667
Nb6 0.828 0.000 0.170
Nb7 0.500 0.000 0.500
Nb8 0.172 0.500 0.330
Tc4 0.666 0.000 0.833


A plane-wave DFT calculation with PBE-GGA was carried out for crystalline Ta3VRu4 at its relaxed geometry.

As for the symmetry: Pmmm, No. 47. The calculation puts the energy of formation from the pure elements at -292 meV per atom. The value obtained for the electronic total energy is -10.515 eV per atom. Its magnetization is 1.22 μB/cell.

a = 3.394 Å, b = 4.284 Å, c = 8.547 Å
α = 90.00°, β = 90.00°, γ = 90.00°
Element x y z (fractional)
Ru1 0.000 0.500 0.753
Ru2 0.000 0.500 0.247
V1 0.500 0.500 0.000
Ta1 0.500 0.500 0.500
Ru3 0.000 0.000 0.500
Ta2 0.500 0.000 0.237
Ru4 0.000 0.000 0.000
Ta3 0.500 0.000 0.763